# 1
# PuAlAu5

A geometry-optimized PuAlAu5 structure (GGA-PBE, Alexandria via LeMat-Bulk).

As for the formation energy: -0.25 eV/atom.

The structure belongs to space group P4/mmm (No. 123); the cell edges are 4.392, 4.392 and 7.446 Å and the angles 90.00°, 90.00° and 90.00°. The inequivalent atoms are Pu at (0.000, 0.000, 0.000), Al at (0.000, 0.000, 0.500), Au at (0.000, 0.500, 0.301) and Au at (0.500, 0.500, 0.000).


# 2
# Li2BiPd

A geometry-optimized Li2BiPd structure (GGA-PBE, Alexandria via LeMat-Bulk).

As for the formation energy: -0.44 eV/atom.

The structure belongs to space group P4/mmm (No. 123); the cell edges are 4.130, 4.130 and 4.221 Å and the angles 90.00°, 90.00° and 90.00°. The inequivalent atoms are Li at (0.000, 0.500, 0.000), Bi at (0.000, 0.000, 0.500) and Pd at (0.500, 0.500, 0.500).


# 3
# HfScCdMo

A geometry-optimized HfScCdMo structure (GGA-PBE, Alexandria via LeMat-Bulk).

As for the formation energy: 0.02 eV/atom.

The structure belongs to space group F-43m (No. 216); the cell edges are 6.800, 6.800 and 6.800 Å and the angles 90.00°, 90.00° and 90.00°. The inequivalent atoms are Hf at (0.000, 0.000, 0.000), Sc at (0.000, 0.000, 0.500), Cd at (0.250, 0.250, 0.750) and Mo at (0.250, 0.250, 0.250).


# 4
# Sr2LaReRh

A geometry-optimized Sr2LaReRh structure (GGA-PBE, Alexandria via LeMat-Bulk).

As for the formation energy: 1.73 eV/atom.

The structure belongs to space group P4/mmm (No. 123); the cell edges are 5.940, 5.940 and 4.661 Å and the angles 90.00°, 90.00° and 90.00°. The inequivalent atoms are Sr at (0.000, 0.500, 0.000), La at (0.000, 0.000, 0.000), Re at (0.500, 0.500, 0.500) and Rh at (0.000, 0.000, 0.500).


# 5
# Tm3Cu4Si2

A geometry-optimized Tm3Cu4Si2 structure (GGA-PBE, Alexandria via LeMat-Bulk).

Its final energy is -5.0345 eV per atom.

The structure belongs to space group C2/m (No. 12); the cell edges are 10.190, 4.139 and 8.139 Å and the angles 90.00°, 110.45° and 90.00°. The inequivalent atoms are Tm at (0.000, 0.000, 0.000), Tm at (0.162, 0.500, 0.669), Cu at (0.064, 0.000, 0.393), Cu at (0.216, 0.500, 0.057) and Si at (0.114, 0.500, 0.280).


# 6
# LaMo3Pb

A geometry-optimized LaMo3Pb structure (GGA-PBE, Alexandria via LeMat-Bulk).

As for the formation energy: 1.91 eV/atom.

The structure belongs to space group Pm-3m (No. 221); the cell edges are 5.102, 5.102 and 5.102 Å and the angles 90.00°, 90.00° and 90.00°. The inequivalent atoms are La at (0.000, 0.000, 0.000), Mo at (0.000, 0.500, 0.500) and Pb at (0.500, 0.500, 0.500).


# 7
# TlHS

A geometry-optimized TlHS structure (GGA-PBE, Alexandria via LeMat-Bulk).

Its final energy is -3.5119 eV per atom.

The structure belongs to space group C2/m (No. 12); the cell edges are 12.113, 4.479 and 5.201 Å and the angles 90.00°, 105.40° and 90.00°. The inequivalent atoms are Tl at (0.108, 0.000, 0.307), H at (0.209, 0.500, 0.968) and S at (0.127, 0.500, 0.732).


# 8
# Y2TiHg

A geometry-optimized Y2TiHg structure (GGA-PBE, Alexandria via LeMat-Bulk).

As for the formation energy: 0.41 eV/atom.

The structure belongs to space group I-42d (No. 122); the cell edges are 4.474, 4.474 and 21.255 Å and the angles 90.00°, 90.00° and 90.00°. The inequivalent atoms are Y at (0.247, 0.250, 0.125), Ti at (0.000, 0.000, 0.500) and Hg at (0.000, 0.000, 0.000).


# 9
# PrTiNbGe2

A geometry-optimized PrTiNbGe2 structure (GGA-PBE, Alexandria via LeMat-Bulk).

As for the formation energy: -0.64 eV/atom.

The structure belongs to space group I-4m2 (No. 119); the cell edges are 4.100, 4.100 and 12.154 Å and the angles 90.00°, 90.00° and 90.00°. The inequivalent atoms are Pr at (0.000, 0.000, 0.000), Ti at (0.000, 0.500, 0.750), Nb at (0.000, 0.500, 0.250) and Ge at (0.000, 0.000, 0.393).


# 10
# TbCuPtO4

A geometry-optimized TbCuPtO4 structure (GGA-PBE, Alexandria via LeMat-Bulk).

Its final energy is -6.4171 eV per atom.

The structure belongs to space group Imma (No. 74); the cell edges are 6.424, 7.291 and 8.687 Å and the angles 90.00°, 90.00° and 90.00°. The inequivalent atoms are Tb at (0.000, 0.000, 0.000), Cu at (0.000, 0.250, 0.454), Pt at (0.250, 0.250, 0.750), O at (0.000, 0.068, 0.741) and O at (0.220, 0.250, 0.993).


# 11
# Nd3Rh2Pb4

A geometry-optimized Nd3Rh2Pb4 structure (GGA-PBE, Alexandria via LeMat-Bulk).

As for the formation energy: -0.46 eV/atom.

The structure belongs to space group C2/m (No. 12); the cell edges are 11.582, 4.884 and 9.250 Å and the angles 90.00°, 114.05° and 90.00°. The inequivalent atoms are Nd at (0.000, 0.000, 0.000), Nd at (0.185, 0.500, 0.620), Rh at (0.094, 0.500, 0.284), Pb at (0.012, 0.000, 0.344) and Pb at (0.212, 0.500, 0.076).


# 12
# Pa2CrP

A geometry-optimized Pa2CrP structure (GGA-PBE, Alexandria via LeMat-Bulk).

As for the formation energy: -0.25 eV/atom.

The structure belongs to space group P4/mmm (No. 123); the cell edges are 4.277, 4.277 and 4.025 Å and the angles 90.00°, 90.00° and 90.00°. The inequivalent atoms are Pa at (0.000, 0.500, 0.000), Cr at (0.000, 0.000, 0.500) and P at (0.500, 0.500, 0.500).